Version A
A crystal of KTaMo2 relaxed with PBEsol, computed with meta-GGA SCAN.

Geometry as CIF:
```
data_KTaMo2
_chemical_formula_sum 'K2 Ta2 Mo4'
_cell_length_a 2.906
_cell_length_b 5.453
_cell_length_c 10.116
_cell_angle_alpha 90.00
_cell_angle_beta 90.00
_cell_angle_gamma 90.00
_symmetry_space_group_name_H-M 'I m m 2'
_symmetry_Int_Tables_number 44
loop_
_symmetry_equiv_pos_as_xyz
'x,y,z'
'-x,-y,z'
'-x,y,z'
'x,-y,z'
'x+1/2,y+1/2,z+1/2'
'-x+1/2,-y+1/2,z+1/2'
'-x+1/2,y+1/2,z+1/2'
'x+1/2,-y+1/2,z+1/2'
loop_
_atom_site_label
_atom_site_type_symbol
_atom_site_fract_x
_atom_site_fract_y
_atom_site_fract_z
_atom_site_occupancy
K1 K 0.000 0.000 0.000 1
Ta1 Ta 0.000 0.500 0.798 1
Mo1 Mo 0.000 0.000 0.517 1
Mo2 Mo 0.000 0.500 0.214 1
```



Version B
A crystal of KTaMo2 relaxed with PBEsol, computed with meta-GGA SCAN.

Geometry as CIF:
```
data_KTaMo2
_chemical_formula_sum 'K1 Ta1 Mo2'
_cell_length_a 2.655
_cell_length_b 5.216
_cell_length_c 5.286
_cell_angle_alpha 90.00
_cell_angle_beta 90.00
_cell_angle_gamma 90.00
_symmetry_space_group_name_H-M 'P m m m'
_symmetry_Int_Tables_number 47
loop_
_symmetry_equiv_pos_as_xyz
'x,y,z'
'-x,-y,-z'
'-x,-y,z'
'x,y,-z'
'x,-y,-z'
'-x,y,z'
'-x,y,-z'
'x,-y,z'
loop_
_atom_site_label
_atom_site_type_symbol
_atom_site_fract_x
_atom_site_fract_y
_atom_site_fract_z
_atom_site_occupancy
K1 K 0.000 0.000 0.000 1
Ta1 Ta 0.500 0.000 0.500 1
Mo1 Mo 0.000 0.500 0.500 1
Mo2 Mo 0.500 0.500 0.000 1
```



Version C
A crystal of KTaMo2 relaxed with PBEsol, computed with meta-GGA SCAN.

Geometry as CIF:
```
data_KTaMo2
_chemical_formula_sum 'K1 Ta1 Mo2'
_cell_length_a 3.286
_cell_length_b 3.443
_cell_length_c 8.413
_cell_angle_alpha 90.00
_cell_angle_beta 90.00
_cell_angle_gamma 90.00
_symmetry_space_group_name_H-M 'P m m 2'
_symmetry_Int_Tables_number 25
loop_
_symmetry_equiv_pos_as_xyz
'x,y,z'
'-x,-y,z'
'-x,y,z'
'x,-y,z'
loop_
_atom_site_label
_atom_site_type_symbol
_atom_site_fract_x
_atom_site_fract_y
_atom_site_fract_z
_atom_site_occupancy
K1 K 0.000 0.000 0.000 1
Ta1 Ta 0.500 0.500 0.630 1
Mo1 Mo 0.000 0.000 0.478 1
Mo2 Mo 0.500 0.500 0.339 1
```



Version D
A crystal of KTaMo2 relaxed with PBEsol, computed with meta-GGA SCAN.

Geometry as CIF:
```
data_KTaMo2
_chemical_formula_sum 'K2 Ta2 Mo4'
_cell_length_a 3.167
_cell_length_b 4.610
_cell_length_c 10.510
_cell_angle_alpha 90.00
_cell_angle_beta 90.00
_cell_angle_gamma 90.00
_symmetry_space_group_name_H-M 'C m m m'
_symmetry_Int_Tables_number 65
_symmetry_space_group_name_Hall '-C 2 2'
loop_
_atom_site_label
_atom_site_type_symbol
_atom_site_fract_x
_atom_site_fract_y
_atom_site_fract_z
_atom_site_occupancy
K1 K 0.000 0.000 0.000 1
Ta1 Ta 0.000 0.000 0.500 1
Mo1 Mo 0.000 0.500 0.292 1
```



Energies relative to the most stable structure, in kJ/mol of atoms: version A 58.8; version B 92.3; version C 12.1; version D 0.0.



Version A
A crystal of KTaMo relaxed with PBEsol, computed with meta-GGA SCAN.

Geometry as CIF:
```
data_KTaMo
_chemical_formula_sum 'K1 Ta1 Mo1'
_cell_length_a 5.0946
_cell_length_b 5.0946
_cell_length_c 2.6146
_cell_angle_alpha 90.00
_cell_angle_beta 90.00
_cell_angle_gamma 120.00
_symmetry_space_group_name_H-M 'P 3 m 1'
_symmetry_Int_Tables_number 156
loop_
_symmetry_equiv_pos_as_xyz
'x,y,z'
'-y,x-y,z'
'-x+y,-x,z'
'-y,-x,z'
'-x+y,y,z'
'x,x-y,z'
loop_
_atom_site_label
_atom_site_type_symbol
_atom_site_fract_x
_atom_site_fract_y
_atom_site_fract_z
_atom_site_occupancy
K1 K 0.0000 0.0000 0.0000 1
Ta1 Ta 0.6667 0.3333 0.4336 1
Mo1 Mo 0.3333 0.6667 0.8867 1
```



Version B
A crystal of KTaMo relaxed with PBEsol, computed with meta-GGA SCAN.

Geometry as CIF:
```
data_KTaMo
_chemical_formula_sum 'K4 Ta4 Mo4'
_cell_length_a 6.460
_cell_length_b 6.460
_cell_length_c 6.460
_cell_angle_alpha 90.00
_cell_angle_beta 90.00
_cell_angle_gamma 90.00
_symmetry_space_group_name_H-M 'F -4 3 m'
_symmetry_Int_Tables_number 216
_symmetry_space_group_name_Hall 'F -4 2 3'
loop_
_atom_site_label
_atom_site_type_symbol
_atom_site_fract_x
_atom_site_fract_y
_atom_site_fract_z
_atom_site_occupancy
K1 K 0.000 0.000 0.000 1
Ta1 Ta 0.000 0.000 0.500 1
Mo1 Mo 0.250 0.250 0.750 1
```



Energies relative to the most stable structure, in kJ/mol of atoms: version A 0.0; version B 64.7.



Version A
A crystal of KTc2Mo relaxed with PBEsol, computed with meta-GGA SCAN.

Geometry as CIF:
```
data_KTc2Mo
_chemical_formula_sum 'K1 Tc2 Mo1'
_cell_length_a 3.092
_cell_length_b 3.092
_cell_length_c 8.374
_cell_angle_alpha 90.00
_cell_angle_beta 90.00
_cell_angle_gamma 90.00
_symmetry_space_group_name_H-M 'P 4/m m m'
_symmetry_Int_Tables_number 123
_symmetry_space_group_name_Hall '-P 4 2'
loop_
_atom_site_label
_atom_site_type_symbol
_atom_site_fract_x
_atom_site_fract_y
_atom_site_fract_z
_atom_site_occupancy
K1 K 0.000 0.000 0.000 1
Tc1 Tc 0.500 0.500 0.337 1
Mo1 Mo 0.000 0.000 0.500 1
```



Version B
A crystal of KTc2Mo relaxed with PBEsol, computed with meta-GGA SCAN.

Geometry as CIF:
```
data_KTc2Mo
_chemical_formula_sum 'K2 Tc4 Mo2'
_cell_length_a 3.015
_cell_length_b 4.454
_cell_length_c 10.336
_cell_angle_alpha 90.00
_cell_angle_beta 90.00
_cell_angle_gamma 90.00
_symmetry_space_group_name_H-M 'C m m 2'
_symmetry_Int_Tables_number 35
loop_
_symmetry_equiv_pos_as_xyz
'x,y,z'
'-x,-y,z'
'-x,y,z'
'x,-y,z'
'x+1/2,y+1/2,z'
'-x+1/2,-y+1/2,z'
'-x+1/2,y+1/2,z'
'x+1/2,-y+1/2,z'
loop_
_atom_site_label
_atom_site_type_symbol
_atom_site_fract_x
_atom_site_fract_y
_atom_site_fract_z
_atom_site_occupancy
K1 K 0.000 0.000 0.000 1
Tc1 Tc 0.000 0.000 0.488 1
Tc2 Tc 0.000 0.500 0.284 1
Mo1 Mo 0.000 0.500 0.697 1
```



Energies relative to the most stable structure, in kJ/mol of atoms: version A 3.0; version B 0.0.



Version A
A crystal of KTcMo2 relaxed with PBEsol, computed with meta-GGA SCAN.

Geometry as CIF:
```
data_KTcMo2
_chemical_formula_sum 'K3 Tc3 Mo6'
_cell_length_a 2.8100
_cell_length_b 2.8100
_cell_length_c 31.5632
_cell_angle_alpha 90.00
_cell_angle_beta 90.00
_cell_angle_gamma 120.00
_symmetry_space_group_name_H-M 'R -3 m'
_symmetry_Int_Tables_number 166
_symmetry_space_group_name_Hall '-R 3 2"'
loop_
_atom_site_label
_atom_site_type_symbol
_atom_site_fract_x
_atom_site_fract_y
_atom_site_fract_z
_atom_site_occupancy
K1 K 0.0000 0.0000 0.0000 1
Tc1 Tc 0.0000 0.0000 0.5000 1
Mo1 Mo 0.0000 0.0000 0.2345 1
```



Version B
A crystal of KTcMo2 relaxed with PBEsol, computed with meta-GGA SCAN.

Geometry as CIF:
```
data_KTcMo2
_chemical_formula_sum 'K2 Tc2 Mo4'
_cell_length_a 3.122
_cell_length_b 4.493
_cell_length_c 10.218
_cell_angle_alpha 90.00
_cell_angle_beta 90.00
_cell_angle_gamma 90.00
_symmetry_space_group_name_H-M 'C m m 2'
_symmetry_Int_Tables_number 35
loop_
_symmetry_equiv_pos_as_xyz
'x,y,z'
'-x,-y,z'
'-x,y,z'
'x,-y,z'
'x+1/2,y+1/2,z'
'-x+1/2,-y+1/2,z'
'-x+1/2,y+1/2,z'
'x+1/2,-y+1/2,z'
loop_
_atom_site_label
_atom_site_type_symbol
_atom_site_fract_x
_atom_site_fract_y
_atom_site_fract_z
_atom_site_occupancy
K1 K 0.000 0.000 0.000 1
Tc1 Tc 0.000 0.500 0.284 1
Mo1 Mo 0.000 0.000 0.486 1
Mo2 Mo 0.000 0.500 0.694 1
```



Version C
A crystal of KTcMo2 relaxed with PBEsol, computed with meta-GGA SCAN.

Geometry as CIF:
```
data_KTcMo2
_chemical_formula_sum 'K1 Tc1 Mo2'
_cell_length_a 3.747
_cell_length_b 3.747
_cell_length_c 4.849
_cell_angle_alpha 90.00
_cell_angle_beta 90.00
_cell_angle_gamma 90.00
_symmetry_space_group_name_H-M 'P 4/m m m'
_symmetry_Int_Tables_number 123
_symmetry_space_group_name_Hall '-P 4 2'
loop_
_atom_site_label
_atom_site_type_symbol
_atom_site_fract_x
_atom_site_fract_y
_atom_site_fract_z
_atom_site_occupancy
K1 K 0.000 0.000 0.000 1
Tc1 Tc 0.500 0.500 0.000 1
Mo1 Mo 0.000 0.500 0.500 1
```



Energies relative to the most stable structure, in kJ/mol of atoms: version A 13.7; version B 0.0; version C 114.1.